No. 1
## Tm2MgTe (PBE)

Data for an optimized crystal structure of Tm2MgTe.

The structure in extended XYZ format:
```
8
Lattice="6.794 0.000 0.000 0.000 3.989 0.000 -2.392 0.000 8.520" Properties=species:S:1:pos:R:3 pbc="T T T"
Tm 0.000 0.000 0.000
Tm -1.157 1.994 4.456
Tm 2.176 0.000 4.002
Tm 3.459 1.994 0.454
Mg 0.289 0.000 6.579
Mg 2.963 1.994 6.398
Te 0.983 1.994 2.114
Te 4.652 0.000 2.342
```

calculated total energy: -3.913 eV per atom

No. 2
## LiMnZn4 (PBE)

Data for an optimized crystal structure of LiMnZn4.

The structure in extended XYZ format:
```
6
Lattice="0.000 3.569 3.569 3.569 0.000 3.569 3.569 3.569 0.000" Properties=species:S:1:pos:R:3 pbc="T T T"
Li 0.000 0.000 0.000
Mn 5.353 5.353 5.353
Zn 2.678 2.678 2.678
Zn 4.460 4.460 2.678
Zn 4.460 2.678 4.460
Zn 2.678 4.460 4.460
```

calculated total energy: -2.712 eV per atom
calculated formation energy: -0.09 eV/f.u.

No. 3
## LiHf2Ag2 (PBE)

Data for an optimized crystal structure of LiHf2Ag2.

The structure in extended XYZ format:
```
10
Lattice="8.257 0.000 0.000 0.000 8.257 0.000 0.000 0.000 3.019" Properties=species:S:1:pos:R:3 pbc="T T T"
Li 0.000 0.000 0.000
Li 4.129 4.129 0.000
Hf 1.377 2.751 1.509
Hf 2.751 6.880 1.509
Hf 5.506 1.377 1.509
Hf 6.880 5.506 1.509
Ag 1.070 5.199 0.000
Ag 3.058 1.070 0.000
Ag 5.199 7.187 0.000
Ag 7.187 3.058 0.000
```

calculated total energy: -5.314 eV per atom
calculated formation energy: 0.95 eV/f.u.

No. 4
## LiCa2Mn (PBE)

Data for an optimized crystal structure of LiCa2Mn.

The structure in extended XYZ format:
```
16
Lattice="7.576 0.000 0.000 0.000 7.576 0.000 0.000 0.000 7.576" Properties=species:S:1:pos:R:3 pbc="T T T"
Li 0.000 0.000 0.000
Li 0.000 3.788 3.788
Li 3.788 0.000 3.788
Li 3.788 3.788 0.000
Ca 0.000 0.000 3.788
Ca 0.000 3.788 0.000
Ca 1.894 1.894 5.682
Ca 1.894 5.682 1.894
Ca 3.788 0.000 0.000
Ca 3.788 3.788 3.788
Ca 5.682 1.894 1.894
Ca 5.682 5.682 5.682
Mn 1.894 1.894 1.894
Mn 1.894 5.682 5.682
Mn 5.682 1.894 5.682
Mn 5.682 5.682 1.894
```

calculated total energy: -3.363 eV per atom
calculated formation energy: 1.64 eV/f.u.

No. 5
## MgAlSb2 (PBE)

Data for an optimized crystal structure of MgAlSb2.

The structure in extended XYZ format:
```
8
Lattice="6.742 0.000 0.000 0.000 3.969 0.000 -2.358 0.000 7.461" Properties=species:S:1:pos:R:3 pbc="T T T"
Mg 0.000 0.000 0.000
Mg 3.371 1.984 0.000
Al -1.179 1.984 3.731
Al 2.192 0.000 3.731
Sb -0.085 0.000 5.451
Sb 1.098 1.984 2.011
Sb 3.286 1.984 5.451
Sb 4.469 0.000 2.011
```

calculated total energy: -3.466 eV per atom

No. 6
## Li5Mg6Ag (PBE)

Data for an optimized crystal structure of Li5Mg6Ag.

The structure in extended XYZ format:
```
12
Lattice="4.123 -7.238 0.000 4.123 7.238 0.000 -2.810 0.000 3.933" Properties=species:S:1:pos:R:3 pbc="T T T"
Li 0.000 0.000 0.000
Li 2.718 4.812 1.967
Li 4.123 2.446 0.000
Li 4.123 -2.446 0.000
Li 2.718 -4.812 1.967
Mg 1.371 2.371 0.990
Mg -0.021 0.000 2.965
Mg 1.371 -2.371 0.990
Mg 4.066 2.371 2.944
Mg 5.458 0.000 0.968
Mg 4.066 -2.371 2.944
Ag 2.718 0.000 1.967
```

calculated total energy: -1.936 eV per atom
calculated formation energy: -1.24 eV/f.u.

- The lowest calculated total energy belongs to which entry?
  LiHf2Ag2

- Which of these has the lowest calculated total energy?
  LiHf2Ag2